w.
This record from Alexandria describes a geometry-optimized MnSi2Ag structure. The functional is GGA-PBE.

```
MnSi2Ag
1.0
2.6706 0.0000 0.0000
0.0000 2.9343 0.0104
0.0000 -0.0440 7.3769
Ag Mn Si
1 1 2
Direct
0.5000 0.2500 0.2500
0.5000 0.7500 0.7500
0.0000 0.2513 0.9370
0.0000 0.2487 0.5630
```

Values from the calculation:
- SG: P2/m (10)
- Fermi-level density of states: 1.91 states/eV per cell

x.
This record from Alexandria describes a geometry-optimized MnSi2Ag structure. The functional is GGA-PBE.

```
MnSi2Ag
1.0
-1.9099 -2.5476 -3.3920
-1.5504 -3.9605 1.8854
-0.6940 4.4317 1.2337
Ag Mn Si
1 1 2
Direct
0.2500 0.7500 0.5000
0.7500 0.2500 0.5000
0.0000 0.0000 0.0000
0.5000 0.5000 0.0000
```

Values from the calculation:
- SG: I4/mmm (139)
- Fermi-level density of states: 1.48 states/eV per cell

Relative energies with respect to the most stable structure, expressed in kJ/mol of atoms: w 0.0; x 30.1.